1.
CuRuN2F: optimized geometry, PBE-GGA.

The value obtained for the size of the total moment is 0.31 μB per cell. As for the space group: P4/mmm. The energy above the lowest structure with this stoichiometry comes out at 0.00 eV per formula unit. The energy relative to the elements, uncorrected is 54.92 kJ per mole of atoms. As for the electronic total energy: -5.81 eV per atom.

abc: 3.7978 3.7978 4.2304
angles: 90.00 90.00 90.00
Last column: nearest neighbours and their distance in Å.
Sites, in units of the cell vectors:
Cu  0.0000  0.0000  0.0000  4 F 2.69, 8 N 2.84
Ru  0.5000  0.5000  0.5000  4 N 1.90, 2 F 2.12
N  0.0000  0.5000  0.5000  2 Ru 1.90
N  0.5000  0.0000  0.5000  2 Ru 1.90
F  0.5000  0.5000  0.0000  2 Ru 2.12

---

2.
YPu2ScSb4: optimized geometry, PBE-GGA.

The value obtained for the size of the total moment is 0.09 μB per cell. As for the space group: P2/m. The energy relative to the elements, uncorrected is -76.86 kJ per mole of atoms. As for the electronic total energy: -8.04 eV per atom.

abc: 7.5001 4.3684 7.5693
angles: 90.00 109.55 90.00
Last column: nearest neighbours and their distance in Å.
Sites, in units of the cell vectors:
Y  0.0000  0.0000  0.0000  6 Sb 3.07-3.08
Pu  0.5000  0.0000  0.5000  6 Sb 3.08
Pu  0.5000  0.5000  0.0000  6 Sb 3.15
Sc  0.0000  0.5000  0.5000  6 Sb 3.00-3.01
Sb  0.2381  0.0000  0.7391  2 Sc 3.01, 1 Y 3.07, 3 Pu 3.08-3.15
Sb  0.2434  0.5000  0.2554  1 Sc 3.00, 2 Y 3.08, 3 Pu 3.08-3.15
Sb  0.7566  0.5000  0.7446  1 Sc 3.00, 2 Y 3.08, 3 Pu 3.08-3.15
Sb  0.7619  0.0000  0.2609  2 Sc 3.01, 1 Y 3.07, 3 Pu 3.08-3.15

---

3.
Zn2CdPt: optimized geometry, PBE-GGA.

The formation enthalpy at 0 K is -242 meV per atom. The value obtained for the size of the total moment is 0.00 μB per cell. As for the space group: P4/mmm. As for the electronic total energy: -2.62 eV per atom.

abc: 4.0518 4.0518 3.9258
angles: 90.00 90.00 90.00
Last column: nearest neighbours and their distance in Å.
Sites, in units of the cell vectors:
Zn  0.0000  0.5000  0.0000  4 Cd 2.82, 4 Pt 2.82, 4 Zn 2.87
Zn  0.5000  0.0000  0.0000  4 Cd 2.82, 4 Pt 2.82, 4 Zn 2.87
Cd  0.0000  0.0000  0.5000  8 Zn 2.82, 4 Pt 2.87
Pt  0.5000  0.5000  0.5000  8 Zn 2.82, 4 Cd 2.87

---

4.
BaCdGaAg6: optimized geometry, PBE-GGA.

The formation enthalpy at 0 K is -52 meV per atom. The value obtained for the size of the total moment is 0.00 μB per cell. As for the space group: Imma. As for the electronic total energy: -2.60 eV per atom.

abc: 9.5141 9.5141 9.5141
angles: 142.75 125.45 67.92
Last column: nearest neighbours and their distance in Å.
Sites, in units of the cell vectors:
Ba  0.2537  0.0037  0.2500  10 Ag 3.49-3.69, 4 Cd 3.74
Ba  0.7463  0.9963  0.7500  10 Ag 3.49-3.69, 4 Cd 3.74
Cd  0.0000  0.5000  0.5000  6 Ag 2.81-2.93
Cd  0.5000  0.5000  0.0000  6 Ag 2.81-2.93
Ga  0.5000  0.0000  0.0000  6 Ag 2.65-2.78
Ga  0.5000  0.5000  0.5000  6 Ag 2.65-2.78
Ag  0.0031  0.7531  0.2500  10 Ag 2.87-3.04
Ag  0.1369  0.4020  0.2244  1 Ga 2.78, 6 Ag 2.87-3.10, 1 Cd 2.93
Ag  0.1369  0.9125  0.7349  1 Ga 2.78, 6 Ag 2.87-3.10, 1 Cd 2.93
Ag  0.3223  0.0875  0.7244  1 Ga 2.78, 6 Ag 2.87-3.10, 1 Cd 2.93
Ag  0.3223  0.5980  0.2349  1 Ga 2.78, 6 Ag 2.87-3.10, 1 Cd 2.93
Ag  0.3621  0.6121  0.7500  2 Ga 2.65, 2 Cd 2.81, 4 Ag 2.91
Ag  0.6379  0.3879  0.2500  2 Ga 2.65, 2 Cd 2.81, 4 Ag 2.91
Ag  0.6777  0.4020  0.7651  1 Ga 2.78, 6 Ag 2.87-3.10, 1 Cd 2.93
Ag  0.6777  0.9125  0.2756  1 Ga 2.78, 6 Ag 2.87-3.10, 1 Cd 2.93
Ag  0.8631  0.0875  0.2651  1 Ga 2.78, 6 Ag 2.87-3.10, 1 Cd 2.93
Ag  0.8631  0.5980  0.7756  1 Ga 2.78, 6 Ag 2.87-3.10, 1 Cd 2.93
Ag  0.9969  0.2469  0.7500  10 Ag 2.87-3.04

---

5.
Ba2ErAgS4: optimized geometry, PBE-GGA.

The value obtained for the size of the total moment is 0.00 μB per cell. As for the space group: P2/m. The energy relative to the elements, uncorrected is -153.04 kJ per mole of atoms. As for the electronic total energy: -5.06 eV per atom.

abc: 7.2957 4.2291 7.4555
angles: 90.00 110.59 90.00
Last column: nearest neighbours and their distance in Å.
Sites, in units of the cell vectors:
Ba  0.0000  0.0000  0.0000  6 S 3.17-3.30
Ba  0.0000  0.5000  0.5000  6 S 3.06-3.11
Er  0.5000  0.0000  0.5000  6 S 2.78-2.81
Ag  0.5000  0.5000  0.0000  6 S 2.88-3.03
S  0.2824  0.5000  0.2788  2 Er 2.81, 1 Ag 3.03, 1 Ba 3.06
S  0.2925  0.0000  0.7492  1 Er 2.78, 2 Ag 2.88
S  0.7075  0.0000  0.2508  1 Er 2.78, 2 Ag 2.88
S  0.7176  0.5000  0.7212  2 Er 2.81, 1 Ag 3.03, 1 Ba 3.06

---

6.
AcPd2Au4: optimized geometry, PBE-GGA.

The formation enthalpy at 0 K is -515 meV per atom. The value obtained for the size of the total moment is 0.00 μB per cell. As for the space group: C2/m. The energy above the lowest structure with this stoichiometry comes out at 0.00 eV per formula unit. As for the electronic total energy: -4.46 eV per atom.

abc: 5.7616 5.7616 5.5245
angles: 118.49 118.49 76.83
Last column: nearest neighbours and their distance in Å.
Sites, in units of the cell vectors:
Ac  0.0000  0.0000  0.0000  12 Au 3.08-3.40
Pd  0.4995  0.4995  0.2495  2 Pd 2.76, 8 Au 2.93-2.94
Pd  0.5005  0.5005  0.7505  2 Pd 2.76, 8 Au 2.93-2.94
Au  0.0000  0.3919  0.6957  4 Au 2.81-2.98, 4 Pd 2.93-2.94, 1 Ac 3.08
Au  0.0000  0.6081  0.3043  4 Au 2.81-2.98, 4 Pd 2.93-2.94, 1 Ac 3.08
Au  0.3919  0.0000  0.6957  4 Au 2.81-2.98, 4 Pd 2.93-2.94, 1 Ac 3.08
Au  0.6081  0.0000  0.3043  4 Au 2.81-2.98, 4 Pd 2.93-2.94, 1 Ac 3.08

---

7.
Ce2Zn2Pd: optimized geometry, PBE-GGA.

The formation enthalpy at 0 K is -423 meV per atom. The value obtained for the size of the total moment is 2.83 μB per cell. As for the space group: C2/m. As for the electronic total energy: -4.34 eV per atom.

abc: 5.9215 5.9215 8.9928
angles: 108.36 108.36 45.72
Last column: nearest neighbours and their distance in Å.
Sites, in units of the cell vectors:
Ce  0.1054  0.1054  0.3852  1 Pd 2.79, 2 Zn 3.09
Ce  0.1724  0.1724  0.0319  2 Ce 3.03, 5 Zn 3.11-3.24, 3 Pd 3.16-3.17
Ce  0.8276  0.8276  0.9681  2 Ce 3.03, 5 Zn 3.11-3.24, 3 Pd 3.16-3.17
Ce  0.8946  0.8946  0.6148  1 Pd 2.79, 2 Zn 3.09
Zn  0.3990  0.3990  0.3572  2 Zn 2.63-2.75, 2 Pd 2.67
Zn  0.4867  0.4867  0.8565  2 Zn 2.50-2.63, 1 Pd 2.64
Zn  0.5133  0.5133  0.1435  2 Zn 2.50-2.63, 1 Pd 2.64
Zn  0.6010  0.6010  0.6428  2 Zn 2.63-2.75, 2 Pd 2.67
Pd  0.2317  0.2317  0.7120  3 Zn 2.64-2.67, 1 Ce 2.79
Pd  0.7683  0.7683  0.2880  3 Zn 2.64-2.67, 1 Ce 2.79

---

8.
CuTcCl4: optimized geometry, PBE-GGA.

The value obtained for the size of the total moment is 8.05 μB per cell. As for the space group: C2/c. The energy above the lowest structure with this stoichiometry comes out at 0.00 eV per formula unit. The energy relative to the elements, uncorrected is -41.54 kJ per mole of atoms. As for the electronic total energy: -4.07 eV per atom.

abc: 8.9099 8.9099 6.2738
angles: 103.66 103.66 130.05
Last column: nearest neighbours and their distance in Å.
Sites, in units of the cell vectors:
Cu  0.1361  0.8639  0.7500  2 Cl 2.25
Cu  0.8639  0.1361  0.2500  2 Cl 2.25
Tc  0.3090  0.6910  0.2500  4 Cl 2.38-2.40
Tc  0.6910  0.3090  0.7500  4 Cl 2.38-2.40
Cl  0.0126  0.6106  0.3075  1 Tc 2.40, 1 Cu 2.53
Cl  0.2084  0.3817  0.2868  1 Cu 2.25, 1 Tc 2.38
Cl  0.3817  0.2084  0.7868  1 Cu 2.25, 1 Tc 2.38
Cl  0.3894  0.9874  0.1925  1 Tc 2.40, 1 Cu 2.53
Cl  0.6106  0.0126  0.8075  1 Tc 2.40, 1 Cu 2.53
Cl  0.6183  0.7916  0.2132  1 Cu 2.25, 1 Tc 2.38
Cl  0.7916  0.6183  0.7132  1 Cu 2.25, 1 Tc 2.38
Cl  0.9874  0.3894  0.6925  1 Tc 2.40, 1 Cu 2.53

---

9.
LiCuSe4: optimized geometry, PBE-GGA.

The value obtained for the size of the total moment is 0.00 μB per cell. As for the space group: F-43m. The energy relative to the elements, uncorrected is 33.76 kJ per mole of atoms. As for the electronic total energy: -2.97 eV per atom.

abc: 5.7245 5.7245 5.7245
angles: 60.00 60.00 60.00
Last column: nearest neighbours and their distance in Å.
Sites, in units of the cell vectors:
Li  0.0000  0.0000  0.0000  12 Se 3.36, 4 Cu 3.51
Cu  0.2500  0.2500  0.2500  12 Se 3.36, 4 Li 3.51
Se  0.1262  0.6246  0.6246  6 Se 2.85-2.87
Se  0.6246  0.1262  0.6246  6 Se 2.85-2.87
Se  0.6246  0.6246  0.1262  6 Se 2.85-2.87
Se  0.6246  0.6246  0.6246  6 Se 2.85-2.87

---

10.
PuMgCdCu: optimized geometry, PBE-GGA.

The formation enthalpy at 0 K is 72 meV per atom. The value obtained for the size of the total moment is 5.73 μB per cell. As for the space group: F-43m. As for the electronic total energy: -5.16 eV per atom.

abc: 4.9786 4.9786 4.9786
angles: 60.00 60.00 60.00
Last column: nearest neighbours and their distance in Å.
Sites, in units of the cell vectors:
Pu  0.0000  0.0000  0.0000  4 Cd 3.05, 4 Cu 3.05
Mg  0.5000  0.5000  0.5000  4 Cd 3.05, 4 Cu 3.05
Cd  0.7500  0.7500  0.7500  4 Mg 3.05, 4 Pu 3.05
Cu  0.2500  0.2500  0.2500  4 Mg 3.05, 4 Pu 3.05

---

11.
CaGa2Rh2: optimized geometry, PBE-GGA.

The formation enthalpy at 0 K is -711 meV per atom. The value obtained for the size of the total moment is 0.00 μB per cell. As for the space group: I4/mmm. As for the electronic total energy: -5.26 eV per atom.

abc: 5.8365 5.8365 5.8365
angles: 136.49 136.49 63.22
Last column: nearest neighbours and their distance in Å.
Sites, in units of the cell vectors:
Ca  0.0000  0.0000  0.0000  8 Rh 3.29, 10 Ga 3.33-3.67
Ga  0.3689  0.3689  0.0000  4 Rh 2.47, 1 Ga 2.61
Ga  0.6311  0.6311  0.0000  4 Rh 2.47, 1 Ga 2.61
Rh  0.2500  0.7500  0.5000  4 Ga 2.47
Rh  0.7500  0.2500  0.5000  4 Ga 2.47

---

Number 3 is which compound? Zn2CdPt